! CsNaPb3 | Alexandria via LeMat-Bulk | PBE-GGA | optimized geometry; values from VASP
&SYSTEM
  ibrav = 0, nat = 5, ntyp = 3
/
ATOMIC_SPECIES
Na 22.99 Na.upf
Pb 207.20 Pb.upf
Cs 132.91 Cs.upf
CELL_PARAMETERS angstrom
-4.301 -1.609 -1.834
-0.026 -3.978 3.538
-5.740 1.415 5.553
ATOMIC_POSITIONS crystal
Na 0.014 0.818 0.677
Pb 0.661 0.964 0.384
Pb 0.787 0.590 0.132
Cs 0.397 0.201 0.911
Pb 0.149 0.452 0.407
! Theoretical density   6.762 g/cm³
! Symmetry   No. 44
! Formation enthalpy at 0 K   -141 meV/atom
! Relative energy among the computed polymorphs   0.9 kJ per mole of atoms

***

! CsNaPb3 | Alexandria via LeMat-Bulk | PBE-GGA | optimized geometry; values from VASP
&SYSTEM
  ibrav = 0, nat = 10, ntyp = 3
/
ATOMIC_SPECIES
Cs 132.91 Cs.upf
Pb 207.20 Pb.upf
Na 22.99 Na.upf
CELL_PARAMETERS angstrom
5.794 0.000 0.000
0.000 6.483 -2.700
0.000 0.237 9.654
ATOMIC_POSITIONS crystal
Cs 0.048 0.478 0.001
Pb 0.548 0.946 0.939
Na 0.548 0.752 0.553
Pb 0.048 0.453 0.436
Pb 0.048 0.937 0.436
Pb 0.548 0.343 0.250
Pb 0.048 0.851 0.747
Na 0.048 0.045 0.134
Cs 0.548 0.318 0.685
Pb 0.548 0.860 0.250
! Theoretical density   7.048 g/cm³
! Symmetry   No. 11
! Formation enthalpy at 0 K   -151 meV/atom
! Relative energy among the computed polymorphs   0.0 kJ per mole of atoms

***

! Cs8Na2Pb | Alexandria via LeMat-Bulk | PBE-GGA | optimized geometry; values from VASP
&SYSTEM
  ibrav = 0, nat = 11, ntyp = 3
/
ATOMIC_SPECIES
Cs 132.91 Cs.upf
Na 22.99 Na.upf
Pb 207.20 Pb.upf
CELL_PARAMETERS angstrom
-6.942 5.337 1.268
-3.794 -8.905 -7.169
4.366 -2.591 10.923
ATOMIC_POSITIONS crystal
Cs 0.646 0.369 0.130
Cs 0.005 0.177 0.816
Cs 0.005 0.816 0.177
Na 0.485 0.316 0.707
Cs 0.167 0.290 0.290
Cs 0.285 0.646 0.882
Pb 0.242 0.005 0.005
Cs 0.646 0.130 0.369
Cs 0.749 0.696 0.696
Na 0.485 0.707 0.316
Cs 0.285 0.882 0.646
! Theoretical density   2.376 g/cm³
! Symmetry   No. 8
! Formation enthalpy at 0 K   -13 meV/atom

***

! Cs2NaPb7 | Alexandria via LeMat-Bulk | PBE-GGA | optimized geometry; values from VASP
&SYSTEM
  ibrav = 0, nat = 10, ntyp = 3
/
ATOMIC_SPECIES
Pb 207.20 Pb.upf
Cs 132.91 Cs.upf
Na 22.99 Na.upf
CELL_PARAMETERS angstrom
-1.329 3.815 -3.439
-4.930 0.046 1.957
3.786 9.707 9.305
ATOMIC_POSITIONS crystal
Pb 0.500 0.000 0.132
Cs 0.000 0.500 0.253
Pb 0.500 0.000 0.365
Pb 0.500 0.500 0.500
Pb 0.000 0.000 0.500
Pb 0.000 0.000 0.000
Pb 0.000 0.500 0.635
Na 0.500 0.500 0.000
Cs 0.500 0.000 0.747
Pb 0.000 0.500 0.868
! Theoretical density   7.347 g/cm³
! Symmetry   No. 115
! Formation enthalpy at 0 K   -107 meV/atom

***

! CsNa12Pb6 | Alexandria via LeMat-Bulk | PBE-GGA | optimized geometry; values from VASP
&SYSTEM
  ibrav = 0, nat = 19, ntyp = 3
/
ATOMIC_SPECIES
Na 22.99 Na.upf
Pb 207.20 Pb.upf
Cs 132.91 Cs.upf
CELL_PARAMETERS angstrom
9.012 0.029 0.040
-2.206 8.738 0.040
-2.206 -2.842 8.263
ATOMIC_POSITIONS crystal
Na 0.886 0.500 0.114
Pb 0.698 0.308 0.698
Na 0.114 0.500 0.886
Pb 0.302 0.692 0.302
Na 0.500 0.886 0.114
Pb 0.302 0.302 0.692
Na 0.608 0.892 0.608
Na 0.892 0.608 0.608
Na 0.886 0.114 0.500
Na 0.108 0.392 0.392
Pb 0.698 0.698 0.308
Na 0.392 0.392 0.108
Na 0.500 0.114 0.886
Na 0.392 0.108 0.392
Cs 0.000 0.000 0.000
Na 0.114 0.886 0.500
Pb 0.692 0.302 0.302
Pb 0.308 0.698 0.698
Na 0.608 0.608 0.892
! Theoretical density   4.199 g/cm³
! Symmetry   No. 166
! Formation enthalpy at 0 K   -75 meV/atom

***

! CsNa2Pb2 | Alexandria via LeMat-Bulk | PBE-GGA | optimized geometry; values from VASP
&SYSTEM
  ibrav = 0, nat = 5, ntyp = 3
/
ATOMIC_SPECIES
Na 22.99 Na.upf
Pb 207.20 Pb.upf
Cs 132.91 Cs.upf
CELL_PARAMETERS angstrom
-1.917 0.628 -4.544
-3.556 -5.278 0.771
-3.396 5.074 4.853
ATOMIC_POSITIONS crystal
Na 0.676 0.584 0.353
Pb 0.713 0.102 0.426
Na 0.324 0.416 0.647
Pb 0.287 0.898 0.574
Cs 0.000 0.000 0.000
! Theoretical density   4.298 g/cm³
! Symmetry   No. 12
! Formation enthalpy at 0 K   -110 meV/atom
! Relative energy among the computed polymorphs   0.0 kJ per mole of atoms

***

! CsNa2Pb | Alexandria via LeMat-Bulk | PBE-GGA | optimized geometry; values from VASP
&SYSTEM
  ibrav = 0, nat = 8, ntyp = 3
/
ATOMIC_SPECIES
Na 22.99 Na.upf
Cs 132.91 Cs.upf
Pb 207.20 Pb.upf
CELL_PARAMETERS angstrom
-4.789 2.950 0.560
-2.942 -3.492 -6.770
-2.999 -5.670 4.227
ATOMIC_POSITIONS crystal
Na 0.500 0.392 0.781
Na 0.000 0.608 0.719
Na 0.000 0.608 0.281
Cs 0.500 0.908 0.000
Na 0.500 0.392 0.219
Pb 0.500 0.699 0.500
Cs 0.000 0.092 0.500
Pb 0.000 0.301 0.000
! Theoretical density   3.617 g/cm³
! Symmetry   No. 59
! Formation enthalpy at 0 K   -89 meV/atom

***

! CsNa8Pb4 | Alexandria via LeMat-Bulk | PBE-GGA | optimized geometry; values from VASP
&SYSTEM
  ibrav = 0, nat = 13, ntyp = 3
/
ATOMIC_SPECIES
Pb 207.20 Pb.upf
Na 22.99 Na.upf
Cs 132.91 Cs.upf
CELL_PARAMETERS angstrom
6.497 0.000 2.611
3.248 7.983 1.306
0.271 0.000 8.713
ATOMIC_POSITIONS crystal
Pb 0.500 0.500 0.000
Na 0.731 0.769 0.769
Pb 0.000 0.500 0.000
Na 0.000 0.667 0.333
Na 0.333 0.667 0.667
Na 0.000 0.333 0.667
Na 0.500 0.769 0.231
Na 0.500 0.231 0.769
Pb 0.500 0.000 0.500
Cs 0.000 0.000 0.000
Pb 0.000 0.000 0.500
Na 0.269 0.231 0.231
Na 0.667 0.333 0.333
! Theoretical density   4.263 g/cm³
! Symmetry   No. 139
! Formation enthalpy at 0 K   -115 meV/atom

***

! Cs2NaPb2 | Alexandria via LeMat-Bulk | PBE-GGA | optimized geometry; values from VASP
&SYSTEM
  ibrav = 0, nat = 5, ntyp = 3
/
ATOMIC_SPECIES
Na 22.99 Na.upf
Pb 207.20 Pb.upf
Cs 132.91 Cs.upf
CELL_PARAMETERS angstrom
5.759 0.000 0.000
0.000 5.759 0.000
2.879 2.879 8.077
ATOMIC_POSITIONS crystal
Na 0.000 0.000 0.000
Pb 0.413 0.413 0.173
Pb 0.587 0.587 0.827
Cs 0.250 0.750 0.500
Cs 0.750 0.250 0.500
! Theoretical density   4.359 g/cm³
! Symmetry   No. 139
! Formation enthalpy at 0 K   94 meV/atom
! Relative energy among the computed polymorphs   16.4 kJ per mole of atoms

***

! CsNaPb3 | Alexandria via LeMat-Bulk | PBE-GGA | optimized geometry; values from VASP
&SYSTEM
  ibrav = 0, nat = 5, ntyp = 3
/
ATOMIC_SPECIES
Pb 207.20 Pb.upf
Cs 132.91 Cs.upf
Na 22.99 Na.upf
CELL_PARAMETERS angstrom
-3.957 -3.978 3.134
4.585 -1.124 4.361
-2.151 4.921 3.530
ATOMIC_POSITIONS crystal
Pb 0.500 0.000 0.000
Cs 0.000 0.000 0.000
Pb 0.000 0.500 0.000
Pb 0.000 0.000 0.500
Na 0.500 0.500 0.500
! Theoretical density   4.864 g/cm³
! Symmetry   No. 221
! Formation enthalpy at 0 K   965 meV/atom
! Relative energy among the computed polymorphs   107.7 kJ per mole of atoms

***

! CsNa2Pb | Alexandria via LeMat-Bulk | PBE-GGA | optimized geometry; values from VASP
&SYSTEM
  ibrav = 0, nat = 4, ntyp = 3
/
ATOMIC_SPECIES
Na 22.99 Na.upf
Pb 207.20 Pb.upf
Cs 132.91 Cs.upf
CELL_PARAMETERS angstrom
-1.354 2.228 -4.968
-0.864 -3.335 -4.428
-7.573 -0.808 -1.467
ATOMIC_POSITIONS crystal
Na 0.017 0.017 0.950
Pb 0.687 0.687 0.940
Na 0.305 0.305 0.084
Cs 0.491 0.491 0.526
! Theoretical density   3.338 g/cm³
! Symmetry   No. 160
! Formation enthalpy at 0 K   -67 meV/atom

***

! CsNa2Pb | Alexandria via LeMat-Bulk | PBE-GGA | optimized geometry; values from VASP
&SYSTEM
  ibrav = 0, nat = 4, ntyp = 3
/
ATOMIC_SPECIES
Na 22.99 Na.upf
Cs 132.91 Cs.upf
Pb 207.20 Pb.upf
CELL_PARAMETERS angstrom
-3.227 2.794 -1.032
-1.759 -3.648 -4.376
-3.641 -2.802 3.800
ATOMIC_POSITIONS crystal
Na 0.000 0.000 0.500
Cs 0.500 0.000 0.000
Na 0.000 0.500 0.000
Pb 0.500 0.500 0.500
! Theoretical density   4.107 g/cm³
! Symmetry   No. 123
! Formation enthalpy at 0 K   45 meV/atom

***

! Cs2Na5Pb12 | Alexandria via LeMat-Bulk | PBE-GGA | optimized geometry; values from VASP
&SYSTEM
  ibrav = 0, nat = 19, ntyp = 3
/
ATOMIC_SPECIES
Pb 207.20 Pb.upf
Cs 132.91 Cs.upf
Na 22.99 Na.upf
CELL_PARAMETERS angstrom
8.674 0.293 1.047
0.963 8.625 1.047
0.316 0.293 8.731
ATOMIC_POSITIONS crystal
Pb 0.653 0.653 0.162
Cs 0.345 0.345 0.345
Na 0.000 0.500 0.000
Na 0.000 0.000 0.500
Pb 0.347 0.347 0.838
Pb 0.291 0.000 0.709
Pb 0.653 0.162 0.653
Pb 0.347 0.838 0.347
Pb 0.709 0.291 0.000
Na 0.095 0.095 0.095
Pb 0.000 0.709 0.291
Na 0.905 0.905 0.905
Pb 0.162 0.653 0.653
Pb 0.838 0.347 0.347
Na 0.500 0.000 0.000
Cs 0.655 0.655 0.655
Pb 0.291 0.709 0.000
Pb 0.709 0.000 0.291
Pb 0.000 0.291 0.709
! Theoretical density   7.375 g/cm³
! Symmetry   No. 166
! Formation enthalpy at 0 K   -128 meV/atom

***

! Cs2Na3Pb | Alexandria via LeMat-Bulk | PBE-GGA | optimized geometry; values from VASP
&SYSTEM
  ibrav = 0, nat = 6, ntyp = 3
/
ATOMIC_SPECIES
Na 22.99 Na.upf
Cs 132.91 Cs.upf
Pb 207.20 Pb.upf
CELL_PARAMETERS angstrom
-3.454 6.367 -1.961
-1.302 -6.323 -3.827
-1.578 -3.382 6.119
ATOMIC_POSITIONS crystal
Na 0.000 0.000 0.500
Cs 0.744 0.372 0.117
Cs 0.256 0.628 0.883
Pb 0.000 0.000 0.000
Na 0.500 0.500 0.500
Na 0.500 0.000 0.500
! Theoretical density   3.232 g/cm³
! Symmetry   No. 12
! Formation enthalpy at 0 K   -59 meV/atom

***

! CsNa10Pb2 | Alexandria via LeMat-Bulk | PBE-GGA | optimized geometry; values from VASP
&SYSTEM
  ibrav = 0, nat = 13, ntyp = 3
/
ATOMIC_SPECIES
Na 22.99 Na.upf
Pb 207.20 Pb.upf
Cs 132.91 Cs.upf
CELL_PARAMETERS angstrom
-6.946 -1.210 1.012
-1.585 -7.075 5.727
-3.442 4.578 6.917
ATOMIC_POSITIONS crystal
Na 0.653 0.369 0.324
Na 0.347 0.631 0.676
Na 0.023 0.631 0.324
Na 0.729 0.758 0.785
Pb 0.500 0.500 0.000
Na 0.977 0.369 0.676
Cs 0.000 0.000 0.000
Na 0.000 0.000 0.500
Na 0.500 0.000 0.500
Pb 0.000 0.500 0.000
Na 0.271 0.242 0.215
Na 0.486 0.242 0.785
Na 0.514 0.758 0.215
! Theoretical density   2.578 g/cm³
! Symmetry   No. 69
! Formation enthalpy at 0 K   -42 meV/atom
! Relative energy among the computed polymorphs   4.1 kJ per mole of atoms

***

! CsNa7Pb2 | Alexandria via LeMat-Bulk | PBE-GGA | optimized geometry; values from VASP
&SYSTEM
  ibrav = 0, nat = 10, ntyp = 3
/
ATOMIC_SPECIES
Na 22.99 Na.upf
Pb 207.20 Pb.upf
Cs 132.91 Cs.upf
CELL_PARAMETERS angstrom
-5.768 -1.640 -1.051
0.787 -6.505 5.828
-2.789 6.447 5.250
ATOMIC_POSITIONS crystal
Na 0.500 0.500 0.500
Pb 0.500 0.258 0.742
Na 0.500 0.895 0.623
Cs 0.000 0.000 0.000
Na 0.000 0.318 0.682
Pb 0.500 0.742 0.258
Na 0.500 0.105 0.377
Na 0.000 0.682 0.318
Na 0.500 0.377 0.105
Na 0.500 0.623 0.895
! Theoretical density   2.552 g/cm³
! Symmetry   No. 65
! Formation enthalpy at 0 K   -20 meV/atom

***

! CsNa2Pb2 | Alexandria via LeMat-Bulk | PBE-GGA | optimized geometry; values from VASP
&SYSTEM
  ibrav = 0, nat = 10, ntyp = 3
/
ATOMIC_SPECIES
Pb 207.20 Pb.upf
Na 22.99 Na.upf
Cs 132.91 Cs.upf
CELL_PARAMETERS angstrom
-0.244 4.112 8.905
-9.503 2.106 -1.233
-0.942 -3.356 1.524
ATOMIC_POSITIONS crystal
Pb 0.386 0.886 0.000
Na 0.169 0.669 0.500
Na 0.831 0.331 0.500
Na 0.669 0.831 0.500
Pb 0.886 0.614 0.000
Cs 0.000 0.000 0.000
Pb 0.614 0.114 0.000
Na 0.331 0.169 0.500
Cs 0.500 0.500 0.000
Pb 0.114 0.386 0.000
! Theoretical density   5.380 g/cm³
! Symmetry   No. 127
! Formation enthalpy at 0 K   -87 meV/atom
! Relative energy among the computed polymorphs   2.2 kJ per mole of atoms

***

! CsNa10Pb2 | Alexandria via LeMat-Bulk | PBE-GGA | optimized geometry; values from VASP
&SYSTEM
  ibrav = 0, nat = 26, ntyp = 3
/
ATOMIC_SPECIES
Na 22.99 Na.upf
Pb 207.20 Pb.upf
Cs 132.91 Cs.upf
CELL_PARAMETERS angstrom
-6.410 -4.241 4.636
7.010 -4.186 3.729
0.535 8.399 8.422
ATOMIC_POSITIONS crystal
Na 0.831 0.169 0.409
Na 0.878 0.585 0.750
Na 0.776 0.525 0.250
Pb 0.000 0.500 0.000
Na 0.415 0.122 0.750
Na 0.378 0.622 0.445
Na 0.378 0.622 0.055
Cs 0.874 0.126 0.750
Cs 0.126 0.874 0.250
Pb 0.500 0.000 0.500
Pb 0.000 0.500 0.500
Na 0.231 0.231 0.000
Na 0.231 0.231 0.500
Na 0.769 0.769 0.000
Na 0.122 0.415 0.250
Na 0.169 0.831 0.591
Na 0.622 0.378 0.945
Na 0.224 0.475 0.750
Na 0.169 0.831 0.909
Na 0.831 0.169 0.091
Na 0.525 0.776 0.750
Pb 0.500 0.000 0.000
Na 0.585 0.878 0.250
Na 0.475 0.224 0.250
Na 0.622 0.378 0.555
Na 0.769 0.769 0.500
! Theoretical density   2.711 g/cm³
! Symmetry   No. 63
! Formation enthalpy at 0 K   -85 meV/atom
! Relative energy among the computed polymorphs   0.0 kJ per mole of atoms

***

! CsNa2Pb2 | Alexandria via LeMat-Bulk | PBE-GGA | optimized geometry; values from VASP
&SYSTEM
  ibrav = 0, nat = 10, ntyp = 3
/
ATOMIC_SPECIES
Cs 132.91 Cs.upf
Na 22.99 Na.upf
Pb 207.20 Pb.upf
CELL_PARAMETERS angstrom
9.828 0.000 0.000
0.000 9.828 0.000
0.000 0.000 3.654
ATOMIC_POSITIONS crystal
Cs 0.000 0.000 0.000
Na 0.835 0.665 0.000
Na 0.665 0.165 0.000
Pb 0.382 0.118 0.500
Na 0.335 0.835 0.000
Pb 0.618 0.882 0.500
Pb 0.118 0.618 0.500
Na 0.165 0.335 0.000
Pb 0.882 0.382 0.500
Cs 0.500 0.500 0.000
! Theoretical density   5.584 g/cm³
! Symmetry   No. 127
! Formation enthalpy at 0 K   -84 meV/atom
! Relative energy among the computed polymorphs   2.5 kJ per mole of atoms

***

! Cs2Na5Pb2 | Alexandria via LeMat-Bulk | PBE-GGA | optimized geometry; values from VASP
&SYSTEM
  ibrav = 0, nat = 18, ntyp = 3
/
ATOMIC_SPECIES
Na 22.99 Na.upf
Pb 207.20 Pb.upf
Cs 132.91 Cs.upf
CELL_PARAMETERS angstrom
9.880 0.000 0.000
0.000 6.528 0.000
-4.940 -3.264 11.917
ATOMIC_POSITIONS crystal
Na 0.011 0.539 0.500
Pb 0.000 0.842 0.000
Cs 0.274 0.675 0.313
Na 0.674 0.833 0.007
Pb 0.725 0.766 0.500
Pb 0.500 0.342 0.000
Cs 0.726 0.363 0.687
Pb 0.275 0.266 0.500
Na 0.277 0.373 0.755
Na 0.989 0.039 0.500
Na 0.723 0.618 0.245
Na 0.168 0.326 0.993
Cs 0.539 0.175 0.313
Na 0.832 0.333 0.007
Na 0.022 0.118 0.245
Na 0.326 0.826 0.993
Na 0.978 0.873 0.755
Cs 0.461 0.863 0.687
! Theoretical density   3.436 g/cm³
! Symmetry   No. 46
! Formation enthalpy at 0 K   -74 meV/atom

***

! CsNa6Pb2 | Alexandria via LeMat-Bulk | PBE-GGA | optimized geometry; values from VASP
&SYSTEM
  ibrav = 0, nat = 9, ntyp = 3
/
ATOMIC_SPECIES
Pb 207.20 Pb.upf
Na 22.99 Na.upf
Cs 132.91 Cs.upf
CELL_PARAMETERS angstrom
-1.137 -5.298 -1.559
7.747 -4.140 -1.745
4.564 -5.545 5.350
ATOMIC_POSITIONS crystal
Pb 0.885 0.613 0.613
Pb 0.115 0.387 0.387
Na 0.711 0.508 0.071
Na 0.289 0.492 0.929
Na 0.289 0.929 0.492
Na 0.711 0.071 0.508
Cs 0.000 0.000 0.000
Na 0.500 0.681 0.319
Na 0.500 0.319 0.681
! Theoretical density   3.392 g/cm³
! Symmetry   No. 12
! Formation enthalpy at 0 K   -21 meV/atom

***

! CsNa2Pb2 | Alexandria via LeMat-Bulk | PBE-GGA | optimized geometry; values from VASP
&SYSTEM
  ibrav = 0, nat = 5, ntyp = 3
/
ATOMIC_SPECIES
Na 22.99 Na.upf
Pb 207.20 Pb.upf
Cs 132.91 Cs.upf
CELL_PARAMETERS angstrom
6.005 0.000 0.000
0.000 6.005 0.000
3.002 3.002 5.556
ATOMIC_POSITIONS crystal
Na 0.250 0.750 0.500
Pb 0.629 0.629 0.742
Na 0.750 0.250 0.500
Cs 0.000 0.000 0.000
Pb 0.371 0.371 0.258
! Theoretical density   4.917 g/cm³
! Symmetry   No. 139
! Formation enthalpy at 0 K   -108 meV/atom
! Relative energy among the computed polymorphs   0.2 kJ per mole of atoms